{"formula": "SmHoBi", "functional": "PBE", "state": "relaxed", "lattice_angstrom": [[-1.183, 3.163, 2.305], [-3.491, 0.235, -2.115], [-0.002, -5.112, 3.388]], "species": ["Sm", "Bi", "Ho"], "fractional_positions": [[0.958, 0.958, 0.916], [0.621, 0.621, 0.241], [0.271, 0.271, 0.543]], "formation_energy_ev_per_atom": -0.47}